DFT (PBE) results for crystalline Pu4GePd3 at its relaxed geometry.

POSCAR file:
```
Pu4GePd3
1.0
3.661 0.000 0.000
0.000 5.049 0.000
0.000 0.000 8.326
Pu Ge Pd
4 1 3
Direct
0.000 0.000 0.000 Pu
0.000 0.500 0.070 Pu
0.500 0.000 0.196 Pu
0.500 0.500 0.875 Pu
0.500 0.500 0.394 Ge
0.000 0.000 0.451 Pd
0.000 0.500 0.595 Pd
0.500 0.000 0.708 Pd
```

* formation energy: -0.07 eV/atom
* excess energy over the best structure of this formula in the dataset: 0.318 eV/atom
* energy: -9.7590 eV per atom



DFT (PBE) results for crystalline Pu3Ge2Pd at its relaxed geometry.

POSCAR file:
```
Pu3Ge2Pd
1.0
7.605 -1.780 0.000
7.605 1.780 0.000
-7.110 0.000 8.721
Pu Ge Pd
6 4 2
Direct
0.012 0.012 0.116 Pu
0.249 0.249 0.931 Pu
0.346 0.346 0.753 Pu
0.654 0.654 0.247 Pu
0.751 0.751 0.069 Pu
0.988 0.988 0.884 Pu
0.124 0.124 0.442 Ge
0.454 0.454 0.264 Ge
0.546 0.546 0.736 Ge
0.876 0.876 0.558 Ge
0.368 0.368 0.391 Pd
0.632 0.632 0.609 Pd
```

* formation energy: -0.12 eV/atom
* excess energy over the best structure of this formula in the dataset: 0.340 eV/atom
* energy: -9.6898 eV per atom



DFT (PBE) results for crystalline Pu2GePd6 at its relaxed geometry.

POSCAR file:
```
Pu2GePd6
1.0
4.899 -2.849 0.000
4.899 2.849 0.000
-1.498 0.000 5.976
Pu Ge Pd
2 1 6
Direct
0.144 0.144 0.347 Pu
0.856 0.856 0.653 Pu
0.500 0.500 0.500 Ge
0.110 0.627 0.183 Pd
0.373 0.890 0.817 Pd
0.374 0.374 0.801 Pd
0.626 0.626 0.199 Pd
0.627 0.110 0.183 Pd
0.890 0.373 0.817 Pd
```

* formation energy: -0.54 eV/atom
* excess energy over the best structure of this formula in the dataset: 0.005 eV/atom
* energy: -7.6953 eV per atom



DFT (PBE) results for crystalline Pu2Ge2Pd at its relaxed geometry.

POSCAR file:
```
Pu2Ge2Pd
1.0
5.276 -2.217 0.000
5.276 2.217 0.000
-4.760 0.000 9.161
Pu Ge Pd
4 4 2
Direct
0.002 0.002 0.324 Pu
0.184 0.184 0.103 Pu
0.816 0.816 0.897 Pu
0.998 0.998 0.676 Pu
0.361 0.361 0.437 Ge
0.482 0.482 0.118 Ge
0.518 0.518 0.882 Ge
0.639 0.639 0.563 Ge
0.274 0.274 0.646 Pd
0.726 0.726 0.354 Pd
```

* formation energy: -0.55 eV/atom
* excess energy over the best structure of this formula in the dataset: 0.000 eV/atom
* energy: -9.1707 eV per atom



DFT (PBE) results for crystalline Pu3Ge4Pd7 at its relaxed geometry.

POSCAR file:
```
Pu3Ge4Pd7
1.0
7.809 -2.041 0.000
7.809 2.041 0.000
-5.617 0.000 7.868
Pu Ge Pd
3 4 7
Direct
0.000 0.000 0.000 Pu
0.319 0.319 0.321 Pu
0.681 0.681 0.679 Pu
0.108 0.108 0.826 Ge
0.343 0.343 0.745 Ge
0.657 0.657 0.255 Ge
0.892 0.892 0.174 Ge
0.000 0.000 0.500 Pd
0.167 0.167 0.432 Pd
0.310 0.310 0.973 Pd
0.489 0.489 0.701 Pd
0.511 0.511 0.299 Pd
0.690 0.690 0.027 Pd
0.833 0.833 0.568 Pd
```

* formation energy: -0.16 eV/atom
* energy: -7.1502 eV per atom



DFT (PBE) results for crystalline Pu3GePd2 at its relaxed geometry.

POSCAR file:
```
Pu3GePd2
1.0
3.384 0.000 0.000
0.000 3.384 0.000
0.000 0.000 11.487
Pu Ge Pd
3 1 2
Direct
0.000 0.000 0.000 Pu
0.000 0.000 0.329 Pu
0.000 0.000 0.671 Pu
0.500 0.500 0.500 Ge
0.500 0.500 0.161 Pd
0.500 0.500 0.839 Pd
```

* formation energy: -0.39 eV/atom
* excess energy over the best structure of this formula in the dataset: 0.000 eV/atom
* energy: -10.0610 eV per atom